[1]
The following is a PBE calculation of an optimized crystal structure of Tl2OsBr8, from the Alexandria database.

**Formation energy without anion corrections**: -342 meV/atom
**Total energy**: -33.1 eV for the cell shown

Cell: 7.834 7.834 6.837 Å, 97.18 97.18 80.07°
Fractional coordinates of all 11 atoms:
Tl (0.176, 0.176, 0.011)
Tl (0.824, 0.824, 0.989)
Os (0.500, 0.500, 0.000)
Br (0.055, 0.055, 0.340)
Br (0.225, 0.570, 0.166)
Br (0.341, 0.341, 0.716)
Br (0.430, 0.775, 0.834)
Br (0.570, 0.225, 0.166)
Br (0.659, 0.659, 0.284)
Br (0.775, 0.430, 0.834)
Br (0.945, 0.945, 0.660)

[2]
The following is a PBE calculation of an optimized crystal structure of NdBePdN, from the Alexandria database.

**Formation energy without anion corrections**: -1016 meV/atom
**Total energy**: -52.1 eV for the cell shown

Cell: 3.826 3.826 8.111 Å, 90.00 90.00 90.00°
Fractional coordinates of all 8 atoms:
Nd (0.250, 0.250, 0.157)
Nd (0.750, 0.750, 0.843)
Be (0.250, 0.250, 0.664)
Be (0.750, 0.750, 0.336)
Pd (0.250, 0.750, 0.500)
Pd (0.750, 0.250, 0.500)
N (0.250, 0.250, 0.862)
N (0.750, 0.750, 0.138)

[3]
The following is a PBE calculation of an optimized crystal structure of OsAu, from the Alexandria database.

**Formation enthalpy at 0 K**: 0.411 eV/atom
**Total energy**: -27.4 eV for the cell shown
**Energy above the lowest structure with this stoichiometry**: 127 meV/atom

Cell: 2.831 3.861 5.919 Å, 90.00 90.48 90.00°
Fractional coordinates of all 4 atoms:
Os (0.248, 0.250, 0.409)
Os (0.752, 0.750, 0.591)
Au (0.249, 0.250, 0.872)
Au (0.751, 0.750, 0.128)

[4]
The following is a PBE calculation of an optimized crystal structure of Zn2Cu2O5, from the Alexandria database.

**Formation energy without anion corrections**: -628 meV/atom
**Total energy**: -82.4 eV for the cell shown

Cell: 5.255 10.459 3.573 Å, 90.00 90.00 90.00°
Fractional coordinates of all 18 atoms:
Zn (0.237, 0.097, 0.000)
Zn (0.263, 0.597, 0.000)
Zn (0.737, 0.403, 0.000)
Zn (0.763, 0.903, 0.000)
Cu (0.233, 0.865, 0.500)
Cu (0.267, 0.365, 0.500)
Cu (0.733, 0.635, 0.500)
Cu (0.767, 0.135, 0.500)
O (0.000, 0.500, 0.500)
O (0.139, 0.182, 0.500)
O (0.185, 0.903, 0.000)
O (0.315, 0.403, 0.000)
O (0.361, 0.682, 0.500)
O (0.500, 0.000, 0.500)
O (0.639, 0.318, 0.500)
O (0.685, 0.597, 0.000)
O (0.815, 0.097, 0.000)
O (0.861, 0.818, 0.500)

[5]
The following is a PBE calculation of an optimized crystal structure of TcP2Au, from the Alexandria database.

**Formation enthalpy at 0 K**: 0.276 eV/atom
**Total energy**: -23.4 eV for the cell shown
**Energy above the lowest structure with this stoichiometry**: 429 meV/atom

Cell: 2.911 2.911 7.611 Å, 90.00 90.00 90.00°
Fractional coordinates of all 4 atoms:
Tc (0.000, 0.000, 0.000)
P (0.000, 0.000, 0.520)
P (0.500, 0.500, 0.835)
Au (0.500, 0.500, 0.275)

[6]
The following is a PBE calculation of an optimized crystal structure of CeCu4, from the Alexandria database.

**Formation enthalpy at 0 K**: 1.486 eV/atom
**Total energy**: -14.9 eV for the cell shown

Cell: 5.042 5.042 5.042 Å, 90.00 90.00 90.00°
Fractional coordinates of all 5 atoms:
Ce (0.000, 0.000, 0.000)
Cu (0.000, 0.000, 0.500)
Cu (0.000, 0.500, 0.000)
Cu (0.500, 0.000, 0.000)
Cu (0.500, 0.500, 0.500)

Question: What is the total energy in the fifth record?
Answer: -23.4 eV for the cell shown